## CrNiTe3 (PBE)

Data for a relaxed CrNiTe3 crystal.

Cell: 6.867 6.867 6.850 Å, 59.92 59.92 60.00°
Site moments in Bohr magnetons follow the coordinates.
Atoms (fractional coordinates):
Te1 0.423 0.757 0.747  -0.08
Te2 0.243 0.926 0.253  -0.08
Te3 0.757 0.074 0.747  -0.08
Te4 0.926 0.577 0.253  -0.08
Te5 0.074 0.423 0.747  -0.08
Te6 0.577 0.243 0.253  -0.08
Ni1 0.839 0.839 0.483  0.05
Ni2 0.161 0.161 0.517  0.05
Cr1 0.338 0.338 0.986  2.79
Cr2 0.662 0.662 0.014  2.79

Results
- formation energy from raw total energies (meV/atom) = -140
- total energy (eV per atom) = -5.106
- total magnetic moment (μB/cell) = 5.5
- volume (Å³ per cell) = 228.13
- excess energy over the best structure of this formula in the dataset (meV per atom) = 0

## MnCoSeN2 (PBE)

Data for a relaxed MnCoSeN2 crystal.

Cell: 3.545 3.545 5.369 Å, 90.00 90.00 90.00°
Site moments in Bohr magnetons follow the coordinates.
Atoms (fractional coordinates):
Mn1 0.000 0.000 0.000  -0.32
Co1 0.500 0.500 0.500  1.87
N1 0.000 0.500 0.000  0.10
N2 0.500 0.000 0.000  0.10
Se1 0.000 0.000 0.500  0.05

Results
- formation energy from raw total energies (meV/atom) = 714
- total energy (eV per atom) = -6.568
- total magnetic moment (μB/cell) = 1.9
- volume (Å³ per cell) = 67.48
- excess energy over the best structure of this formula in the dataset (meV per atom) = 0

## MnTeOs2 (PBE)

Data for a relaxed MnTeOs2 crystal.

Cell: 4.170 4.170 3.595 Å, 90.00 90.00 90.00°
Site moments in Bohr magnetons follow the coordinates.
Atoms (fractional coordinates):
Os1 0.500 0.500 0.000  -0.03
Os2 0.000 0.000 0.000  -0.03
Mn1 0.000 0.500 0.500  3.23
Te1 0.500 0.000 0.500  -0.02

Results
- formation energy from raw total energies (meV/atom) = 590
- total energy (eV per atom) = -8.102
- total magnetic moment (μB/cell) = 3.3
- volume (Å³ per cell) = 62.51

## CaLa2AlTc (PBE)

Data for a relaxed CaLa2AlTc crystal.

Cell: 5.442 5.442 5.156 Å, 90.00 90.00 90.00°
Atoms (fractional coordinates):
Tc1 0.000 0.000 0.000
Ca1 0.500 0.500 0.500
La1 0.500 0.000 0.000
La2 0.000 0.500 0.000
Al1 0.000 0.000 0.500

Results
- total energy (eV per atom) = -5.238
- total magnetic moment (μB/cell) = 0.0
- volume (Å³ per cell) = 152.71
- formation energy (meV per atom) = -45

## LaErGa4 (PBE)

Data for a relaxed LaErGa4 crystal.

Cell: 5.608 5.608 5.608 Å, 60.00 60.00 60.00°
Atoms (fractional coordinates):
Ga1 0.625 0.125 0.625
Ga2 0.625 0.625 0.625
Ga3 0.125 0.625 0.625
Ga4 0.625 0.625 0.125
La1 0.000 0.000 0.000
Er1 0.250 0.250 0.250

Results
- total energy (eV per atom) = -4.131
- total magnetic moment (μB/cell) = 0.0
- volume (Å³ per cell) = 124.73
- excess energy over the best structure of this formula in the dataset (meV per atom) = 126
- formation energy (meV per atom) = -532

## Zn2FeHgSb (PBE)

Data for a relaxed Zn2FeHgSb crystal.

Cell: 4.900 5.077 4.900 Å, 90.00 90.00 90.00°
Site moments in Bohr magnetons follow the coordinates.
Atoms (fractional coordinates):
Hg1 0.000 0.000 0.000  -0.03
Zn1 0.000 0.000 0.500  0.00
Zn2 0.500 0.000 0.000  0.01
Fe1 0.000 0.500 0.000  3.10
Sb1 0.500 0.500 0.500  0.01

Results
- formation energy from raw total energies (meV/atom) = 818
- total energy (eV per atom) = -2.269
- total magnetic moment (μB/cell) = 3.2
- volume (Å³ per cell) = 121.91

## Ho3Ag5 (PBE)

Data for a relaxed Ho3Ag5 crystal.

Cell: 3.803 7.466 7.466 Å, 120.00 90.00 90.00°
Atoms (fractional coordinates):
Ag1 0.000 0.000 0.233
Ag2 0.000 0.333 0.667
Ag3 0.000 0.667 0.333
Ag4 0.000 0.233 0.000
Ag5 0.000 0.767 0.767
Ho1 0.500 0.385 0.385
Ho2 0.500 0.615 0.000
Ho3 0.500 0.000 0.615

Results
- total energy (eV per atom) = -3.753
- total magnetic moment (μB/cell) = 0.0
- volume (Å³ per cell) = 183.55
- formation energy (meV per atom) = -254

## NaCoI3 (PBE)

Data for a relaxed NaCoI3 crystal.

Cell: 5.478 5.478 5.478 Å, 90.00 90.00 90.00°
Site moments in Bohr magnetons follow the coordinates.
Atoms (fractional coordinates):
I1 0.000 0.000 0.500  0.03
I2 0.000 0.500 0.000  0.01
I3 0.500 0.000 0.000  0.02
Na1 0.500 0.500 0.500  0.00
Co1 0.000 0.000 0.000  1.73

Results
- formation energy from raw total energies (meV/atom) = -253
- total energy (eV per atom) = -2.868
- total magnetic moment (μB/cell) = 1.9
- volume (Å³ per cell) = 164.38
- excess energy over the best structure of this formula in the dataset (meV per atom) = 0

## AsOsRuBr2 (PBE)

Data for a relaxed AsOsRuBr2 crystal.

Cell: 5.215 5.215 4.644 Å, 90.00 90.00 90.00°
Site moments in Bohr magnetons follow the coordinates.
Atoms (fractional coordinates):
Ru1 0.500 0.500 0.500  2.70
Br1 0.000 0.500 0.000  0.06
Br2 0.500 0.000 0.000  0.06
Os1 0.000 0.000 0.000  0.09
As1 0.000 0.000 0.500  0.02

Results
- formation energy from raw total energies (meV/atom) = 1306
- total energy (eV per atom) = -4.394
- total magnetic moment (μB/cell) = 3.3
- volume (Å³ per cell) = 126.29
- excess energy over the best structure of this formula in the dataset (meV per atom) = 0

## PmSm4Dy7 (PBE)

Data for a relaxed PmSm4Dy7 crystal.

Cell: 6.846 6.555 11.822 Å, 75.26 50.13 81.95°
Atoms (fractional coordinates):
Dy1 0.718 0.190 0.387
Dy2 0.801 0.514 0.949
Dy3 0.942 0.683 0.359
Dy4 0.500 0.000 0.000
Dy5 0.282 0.810 0.613
Dy6 0.058 0.317 0.641
Dy7 0.199 0.486 0.051
Pm1 0.000 0.000 0.000
Sm1 0.303 0.163 0.310
Sm2 0.523 0.639 0.284
Sm3 0.477 0.361 0.716
Sm4 0.697 0.837 0.690

Results
- total energy (eV per atom) = -4.568
- total magnetic moment (μB/cell) = 0.0
- volume (Å³ per cell) = 393.57
- excess energy over the best structure of this formula in the dataset (meV per atom) = 0
- formation energy (meV per atom) = 85

## ZrPaBiO6 (PBE)

Data for a relaxed ZrPaBiO6 crystal.

Cell: 5.772 5.772 9.641 Å, 90.00 90.00 120.00°
Atoms (fractional coordinates):
O1 0.650 0.007 0.363
O2 0.357 0.007 0.137
O3 0.650 0.643 0.137
O4 0.350 0.993 0.637
O5 0.007 0.357 0.637
O6 0.007 0.650 0.863
O7 0.350 0.357 0.863
O8 0.643 0.650 0.637
O9 0.993 0.643 0.363
O10 0.357 0.350 0.363
O11 0.643 0.993 0.863
O12 0.993 0.350 0.137
Bi1 0.000 0.000 0.000
Bi2 0.000 0.000 0.500
Pa1 0.667 0.333 0.750
Pa2 0.333 0.667 0.250
Zr1 0.667 0.333 0.250
Zr2 0.333 0.667 0.750

Results
- formation energy from raw total energies (meV/atom) = -2790
- total energy (eV per atom) = -8.531
- total magnetic moment (μB/cell) = 0.0
- volume (Å³ per cell) = 278.19

## Sc2Ti4P3N2 (PBE)

Data for a relaxed Sc2Ti4P3N2 crystal.

Cell: 3.975 3.975 10.751 Å, 100.65 100.65 90.00°
Atoms (fractional coordinates):
Ti1 0.077 0.577 0.153
Ti2 0.423 0.923 0.847
Ti3 0.577 0.077 0.153
Ti4 0.923 0.423 0.847
P1 0.175 0.175 0.349
P2 0.825 0.825 0.651
P3 0.000 0.000 0.000
N1 0.593 0.593 0.187
N2 0.407 0.407 0.813
Sc1 0.304 0.304 0.608
Sc2 0.696 0.696 0.392

Results
- formation energy from raw total energies (meV/atom) = -1287
- total energy (eV per atom) = -8.298
- total magnetic moment (μB/cell) = 0.0
- volume (Å³ per cell) = 163.98